This record from Alexandria describes a geometry-optimized Ac2LaNdTm structure. The functional is PBE-GGA.

Cell lengths 6.5151, 8.8397, 6.8890 Å; angles 90.00, 90.00, 90.00 degrees
Last column: nearest neighbours and their distance in Å.
Sites, in units of the cell vectors:
Ac 0.2500 0.2082 0.2155  1 La 3.30, 2 Tm 3.63, 1 Ac 3.68
Ac 0.2500 0.7918 0.2155  1 La 3.30, 2 Tm 3.63, 1 Ac 3.68
Ac 0.7500 0.2082 0.7845  1 La 3.30, 2 Tm 3.63, 1 Ac 3.68
Ac 0.7500 0.7918 0.7845  1 La 3.30, 2 Tm 3.63, 1 Ac 3.68
La 0.2500 0.5000 0.9171  2 Ac 3.30, 2 Tm 3.30, 2 La 3.45
La 0.7500 0.5000 0.0829  2 Ac 3.30, 2 Tm 3.30, 2 La 3.45
Nd 0.2500 0.0000 0.6876  8 Ac 3.74-4.08, 2 Nd 4.16
Nd 0.7500 0.0000 0.3124  8 Ac 3.74-4.08, 2 Nd 4.16
Tm 0.0000 0.5000 0.5000  2 Tm 3.26, 2 La 3.30, 4 Ac 3.63
Tm 0.5000 0.5000 0.5000  2 Tm 3.26, 2 La 3.30, 4 Ac 3.63

Energy of formation in eV per atom: 0.23
Total moment in μB/cell: 0.0
E in eV/atom: -4.2465



This record from Alexandria describes a geometry-optimized AcLa5NdTm2 structure. The functional is PBE-GGA.

Cell lengths 9.3376, 9.3376, 12.4732 Å; angles 90.00, 90.00, 143.20 degrees
Last column: nearest neighbours and their distance in Å.
Sites, in units of the cell vectors:
Ac 0.1161 0.8839 0.5000  2 Tm 3.56, 5 La 3.64-3.85, 2 Nd 3.84
Ac 0.8839 0.1161 0.0000  2 Tm 3.56, 5 La 3.64-3.85, 2 Nd 3.84
La 0.0750 0.9250 0.8528  1 Nd 3.55, 4 Tm 3.55-3.82, 5 La 3.57-3.95, 1 Ac 3.85
La 0.0791 0.9209 0.1692  5 La 3.57-3.95, 1 Nd 3.61, 4 Tm 3.64-3.79
La 0.2705 0.7295 0.2961  3 La 3.22-3.47, 1 Tm 3.35
La 0.2697 0.7303 0.7086  2 La 3.22, 2 Tm 3.33-3.52
La 0.4381 0.5619 0.1523  3 Tm 3.39-3.66, 1 La 3.47, 2 Ac 3.64
La 0.5619 0.4381 0.6523  3 Tm 3.39-3.66, 1 La 3.47, 2 Ac 3.64
La 0.7303 0.2697 0.2086  2 La 3.22, 2 Tm 3.33-3.52
La 0.7295 0.2705 0.7961  3 La 3.22-3.47, 1 Tm 3.35
La 0.9209 0.0791 0.6692  5 La 3.57-3.95, 1 Nd 3.61, 4 Tm 3.64-3.79
La 0.9250 0.0750 0.3528  1 Nd 3.55, 4 Tm 3.55-3.82, 5 La 3.57-3.95, 1 Ac 3.85
Nd 0.2454 0.7546 0.0020  9 La 3.55-3.92, 3 Tm 3.81-3.85, 2 Ac 3.84
Nd 0.7546 0.2454 0.5020  9 La 3.55-3.92, 3 Tm 3.81-3.85, 2 Ac 3.84
Tm 0.3906 0.6094 0.5039  7 La 3.33-3.64, 1 Tm 3.54
Tm 0.4379 0.5621 0.8591  5 La 3.39-3.79, 1 Tm 3.54, 2 Ac 3.56
Tm 0.5621 0.4379 0.3591  5 La 3.39-3.79, 1 Tm 3.54, 2 Ac 3.56
Tm 0.6094 0.3906 0.0039  7 La 3.33-3.64, 1 Tm 3.54

Energy of formation in eV per atom: 0.07
Total moment in μB/cell: 0.0
E in eV/atom: -4.6458



Repeat the second record exactly.
This record from Alexandria describes a geometry-optimized AcLa5NdTm2 structure. The functional is PBE-GGA.

Cell lengths 9.3376, 9.3376, 12.4732 Å; angles 90.00, 90.00, 143.20 degrees
Last column: nearest neighbours and their distance in Å.
Sites, in units of the cell vectors:
Ac 0.1161 0.8839 0.5000  2 Tm 3.56, 5 La 3.64-3.85, 2 Nd 3.84
Ac 0.8839 0.1161 0.0000  2 Tm 3.56, 5 La 3.64-3.85, 2 Nd 3.84
La 0.0750 0.9250 0.8528  1 Nd 3.55, 4 Tm 3.55-3.82, 5 La 3.57-3.95, 1 Ac 3.85
La 0.0791 0.9209 0.1692  5 La 3.57-3.95, 1 Nd 3.61, 4 Tm 3.64-3.79
La 0.2705 0.7295 0.2961  3 La 3.22-3.47, 1 Tm 3.35
La 0.2697 0.7303 0.7086  2 La 3.22, 2 Tm 3.33-3.52
La 0.4381 0.5619 0.1523  3 Tm 3.39-3.66, 1 La 3.47, 2 Ac 3.64
La 0.5619 0.4381 0.6523  3 Tm 3.39-3.66, 1 La 3.47, 2 Ac 3.64
La 0.7303 0.2697 0.2086  2 La 3.22, 2 Tm 3.33-3.52
La 0.7295 0.2705 0.7961  3 La 3.22-3.47, 1 Tm 3.35
La 0.9209 0.0791 0.6692  5 La 3.57-3.95, 1 Nd 3.61, 4 Tm 3.64-3.79
La 0.9250 0.0750 0.3528  1 Nd 3.55, 4 Tm 3.55-3.82, 5 La 3.57-3.95, 1 Ac 3.85
Nd 0.2454 0.7546 0.0020  9 La 3.55-3.92, 3 Tm 3.81-3.85, 2 Ac 3.84
Nd 0.7546 0.2454 0.5020  9 La 3.55-3.92, 3 Tm 3.81-3.85, 2 Ac 3.84
Tm 0.3906 0.6094 0.5039  7 La 3.33-3.64, 1 Tm 3.54
Tm 0.4379 0.5621 0.8591  5 La 3.39-3.79, 1 Tm 3.54, 2 Ac 3.56
Tm 0.5621 0.4379 0.3591  5 La 3.39-3.79, 1 Tm 3.54, 2 Ac 3.56
Tm 0.6094 0.3906 0.0039  7 La 3.33-3.64, 1 Tm 3.54

Energy of formation in eV per atom: 0.07
Total moment in μB/cell: 0.0
E in eV/atom: -4.6458



Among the records above, which one has the lowest energy of formation?
AcLa5NdTm2



Which of these has the highest energy of formation?
Ac2LaNdTm